Below is HoNpSbO6 after structural relaxation, with properties calculated at the PBE level.

It has space group P-31c (No. 163), with a = 5.7486 Å, b = 5.7486 Å, c = 9.3392 Å, α = 90.00°, β = 90.00° and γ = 120.00°. The inequivalent atoms are Ho at (0.3333, 0.6667, 0.2500), Np at (0.3333, 0.6667, 0.7500), Sb at (0.0000, 0.0000, 0.0000) and O at (0.0242, 0.3574, 0.6328).

Its density of states at the Fermi level is 0.8 states/eV per cell. The calculation puts the uncorrected formation energy at -2.501 eV/atom.